K2Ag3Se4 after structural relaxation, computed with PBE.

The structure in POSCAR format:
```
K2Ag3Se4
1.0
3.144 -7.131 0.000
3.144 7.131 0.000
-3.050 0.000 5.805
K Se Ag
2 4 3
Direct
0.161 0.839 0.000
0.839 0.161 0.000
0.473 0.213 0.702
0.787 0.527 0.298
0.527 0.787 0.298
0.213 0.473 0.702
0.000 0.000 0.500
0.500 0.500 0.000
0.500 0.500 0.500
```

Total DFT energy (no corrections), eV/atom: -3.1230



Sr3Ir3N4O5 after structural relaxation, computed with PBE.

The structure in POSCAR format:
```
Sr3Ir3N4O5
1.0
3.739 0.000 0.000
0.000 8.964 3.002
0.000 -8.964 3.002
Ir Sr O N
3 3 5 4
Direct
0.500 0.349 0.349
0.500 0.863 0.197
0.500 0.197 0.863
0.000 0.382 0.718
0.000 0.718 0.382
0.000 0.884 0.884
0.500 0.982 0.505
0.500 0.695 0.874
0.000 0.455 0.455
0.500 0.874 0.695
0.500 0.505 0.982
0.500 0.177 0.374
0.000 0.851 0.194
0.500 0.374 0.177
0.000 0.194 0.851
```

Total magnetic moment, μB/f.u.: 0.007
Total DFT energy (no corrections), eV/atom: -6.8531



Ba2CdAsP after structural relaxation, computed with PBE.

The structure in POSCAR format:
```
Ba2CdAsP
1.0
2.293 -8.759 0.000
2.293 8.759 0.000
0.000 0.000 8.046
Ba P As Cd
4 2 2 2
Direct
0.799 0.201 0.895
0.201 0.799 0.395
0.962 0.038 0.230
0.038 0.962 0.730
0.558 0.442 0.427
0.442 0.558 0.927
0.172 0.828 0.999
0.828 0.172 0.499
0.407 0.593 0.583
0.593 0.407 0.083
```

Total DFT energy (no corrections), eV/atom: -3.8632



ZnNi15 after structural relaxation, computed with PBE.

The structure in POSCAR format:
```
ZnNi15
1.0
-1.607 2.251 3.269
-25.919 9.302 -19.147
-1.547 -3.990 0.156
Ni Zn
30 2
Direct
0.500 0.666 0.000
0.000 0.370 0.500
0.500 0.703 0.500
0.500 0.592 0.000
0.500 0.408 0.500
0.000 0.555 0.000
0.000 0.334 0.000
0.000 0.703 0.000
0.500 0.297 0.000
0.500 0.445 0.000
0.500 0.741 0.000
0.000 0.408 0.000
0.000 0.482 0.000
0.000 0.518 0.500
0.500 0.555 0.500
0.000 0.629 0.000
0.000 0.225 0.500
0.500 0.482 0.500
0.000 0.741 0.500
0.500 0.518 0.000
0.000 0.592 0.500
0.500 0.775 0.500
0.000 0.666 0.500
0.000 0.445 0.500
0.500 0.630 0.500
0.500 0.259 0.500
0.000 0.259 0.000
0.000 0.297 0.500
0.500 0.334 0.500
0.500 0.371 0.000
0.500 0.219 0.000
0.000 0.781 0.000
```

Total magnetic moment, μB/f.u.: 8.661
Formation energy, meV per atom: 84
Total DFT energy (no corrections), eV/atom: -5.2151



Fe3Re after structural relaxation, computed with PBE.

The structure in POSCAR format:
```
Fe3Re
1.0
-1.804 1.804 3.550
1.804 -1.804 3.550
1.804 1.804 -3.550
Fe Re
3 1
Direct
0.750 0.250 0.500
0.500 0.500 0.000
0.250 0.750 0.500
0.000 0.000 0.000
```

Total magnetic moment, μB/f.u.: 2.968
Formation energy, meV per atom: 81
Total DFT energy (no corrections), eV/atom: -9.2565



Er2AsSe after structural relaxation, computed with PBE.

The structure in POSCAR format:
```
Er2AsSe
1.0
-2.281 0.809 3.256
4.548 -0.781 3.380
1.851 7.893 -0.666
As Er Se
2 4 2
Direct
0.500 0.000 0.626
0.000 0.500 0.374
0.500 0.500 0.616
0.000 0.000 0.863
0.000 0.000 0.384
0.500 0.500 0.137
0.000 0.500 0.878
0.500 0.000 0.122
```

Total magnetic moment, μB/f.u.: 0.005
Total DFT energy (no corrections), eV/atom: -5.9876



Dy2Sn after structural relaxation, computed with PBE.

The structure in POSCAR format:
```
Dy2Sn
1.0
2.917 -5.263 -1.654
0.387 -4.751 4.027
-3.288 -5.209 -0.995
Sn Dy
2 4
Direct
0.250 0.250 0.250
0.000 0.000 0.000
0.625 0.625 0.125
0.125 0.625 0.625
0.625 0.125 0.625
0.625 0.625 0.625
```

Total magnetic moment, μB/f.u.: 0.007
Total DFT energy (no corrections), eV/atom: -4.3790



SiPd4Pb3 after structural relaxation, computed with PBE.

The structure in POSCAR format:
```
SiPd4Pb3
1.0
6.434 0.000 0.000
0.000 3.846 0.000
-0.035 0.000 6.511
Pd Pb Si
4 3 1
Direct
0.472 0.500 0.221
0.022 0.000 0.652
0.472 0.000 0.786
0.054 0.500 0.328
0.181 0.500 0.910
0.704 0.500 0.587
0.787 0.000 0.101
0.308 0.000 0.414
```

Total DFT energy (no corrections), eV/atom: -4.9464



Q: Which of these has the highest total DFT energy (no corrections)?
A: K2Ag3Se4



Q: Look up the total DFT energy (no corrections) of the fourth one.
A: -5.2151 eV/atom